# 1
An optimized crystal structure of YIn2Tc. Source: the Alexandria database, functional PBE-GGA.

Calculated values
Space-group type ... P2/m (10)
E ... -5.542 eV per atom
Total magnetic moment ... 0.61 μB per formula unit
Energy relative to the lowest polymorph listed for this composition ... 10.41 kJ per mole of atoms
ΔH_f (0 K) ... 0.04 eV per atom

Unit cell a=4.763 b=3.215 c=5.933 alpha=74.25 beta=90.00 gamma=90.00
Positions (direct):
In 0.000 0.095 0.023
In 0.000 0.405 0.477
Tc 0.500 0.250 0.250
Y 0.500 0.750 0.750

# 2
An optimized crystal structure of YIn2Tc. Source: the Alexandria database, functional PBE-GGA.

Calculated values
Space-group type ... Cmmm (65)
E ... -5.460 eV per atom
Total magnetic moment ... 0.00 μB per formula unit
Energy relative to the lowest polymorph listed for this composition ... 18.33 kJ per mole of atoms
ΔH_f (0 K) ... 0.12 eV per atom

Unit cell a=7.022 b=4.964 c=3.618 alpha=90.00 beta=59.01 gamma=121.30
Positions (direct):
In 0.000 0.000 0.000
In 0.500 0.000 0.500
Y 0.500 0.500 0.000
Tc 0.000 0.500 0.500

Among the records above, which one has the lowest energy relative to the lowest polymorph listed for this composition?
number 1

total magnetic moment of number 2 (YIn2Tc)?
0.00 μB per formula unit

Copy entry 1 word for word.
An optimized crystal structure of YIn2Tc. Source: the Alexandria database, functional PBE-GGA.

Calculated values
Space-group type ... P2/m (10)
E ... -5.542 eV per atom
Total magnetic moment ... 0.61 μB per formula unit
Energy relative to the lowest polymorph listed for this composition ... 10.41 kJ per mole of atoms
ΔH_f (0 K) ... 0.04 eV per atom

Unit cell a=4.763 b=3.215 c=5.933 alpha=74.25 beta=90.00 gamma=90.00
Positions (direct):
In 0.000 0.095 0.023
In 0.000 0.405 0.477
Tc 0.500 0.250 0.250
Y 0.500 0.750 0.750

Which formula does entry 2 have?
YIn2Tc